# PrPaGe

PrPaGe after structural relaxation (PBE-GGA, Alexandria via LeMat-Bulk).

Cell and atoms, written as extended XYZ:
```
3
Lattice="4.819 0.000 0.000 -2.409 4.173 0.000 0.000 0.000 4.002" Properties=species:S:1:pos:R:3 pbc="T T T"
Pr 0.000 0.000 0.000
Pa 0.000 2.782 2.218
Ge 2.409 1.391 1.304
```

Output
V in Å³/cell: 80.47
Energy in eV/atom: -6.22

# PrPaGe

PrPaGe after structural relaxation (PBE-GGA, Alexandria via LeMat-Bulk).

Cell and atoms, written as extended XYZ:
```
6
Lattice="5.544 0.000 0.000 0.000 5.544 0.000 0.000 0.000 5.995" Properties=species:S:1:pos:R:3 pbc="T T T"
Pr 0.000 0.000 0.000
Pr 0.000 0.000 2.997
Pa 0.000 2.772 0.000
Pa 2.772 0.000 2.997
Ge 2.772 2.772 1.499
Ge 2.772 2.772 4.496
```

Output
V in Å³/cell: 184.26
Energy in eV/atom: -5.44

# Pr2PaGe

Pr2PaGe after structural relaxation (PBE-GGA, Alexandria via LeMat-Bulk).

Cell and atoms, written as extended XYZ:
```
4
Lattice="1.655 0.955 11.667 -1.655 0.955 11.667 0.000 -1.911 11.667" Properties=species:S:1:pos:R:3 pbc="T T T"
Pr 0.000 0.000 3.298
Pr 0.000 0.000 31.702
Pa 0.000 0.000 0.000
Ge 0.000 0.000 17.500
```

Output
V in Å³/cell: 110.68
Energy in eV/atom: -5.76

# PrPaGe2Pt2

PrPaGe2Pt2 after structural relaxation (PBE-GGA, Alexandria via LeMat-Bulk).

Cell and atoms, written as extended XYZ:
```
6
Lattice="4.343 0.000 0.000 -2.172 3.761 0.000 0.000 0.000 7.904" Properties=species:S:1:pos:R:3 pbc="T T T"
Pr 0.000 0.000 0.000
Pa 0.000 0.000 3.952
Ge 0.000 2.507 5.971
Ge 2.172 1.254 1.933
Pt 0.000 2.507 2.269
Pt 2.172 1.254 5.635
```

Output
V in Å³/cell: 129.12
Energy in eV/atom: -6.92

# Pr2PaGe3Pt4

Pr2PaGe3Pt4 after structural relaxation (PBE-GGA, Alexandria via LeMat-Bulk).

Cell and atoms, written as extended XYZ:
```
10
Lattice="4.372 0.000 0.000 0.000 4.372 0.000 0.000 0.000 11.086" Properties=species:S:1:pos:R:3 pbc="T T T"
Pr 0.000 2.186 2.452
Pr 2.186 0.000 8.634
Pa 0.000 0.000 5.543
Ge 0.000 2.186 9.746
Ge 2.186 0.000 1.340
Ge 2.186 2.186 5.543
Pt 0.000 0.000 0.000
Pt 0.000 2.186 7.261
Pt 2.186 0.000 3.825
Pt 2.186 2.186 0.000
```

Output
V in Å³/cell: 211.89
Energy in eV/atom: -6.60

# PrPaZnGe

PrPaZnGe after structural relaxation (PBE-GGA, Alexandria via LeMat-Bulk).

Cell and atoms, written as extended XYZ:
```
4
Lattice="0.000 3.624 3.624 3.624 0.000 3.624 3.624 3.624 0.000" Properties=species:S:1:pos:R:3 pbc="T T T"
Pr 0.000 0.000 0.000
Pa 3.624 3.624 3.624
Zn 1.812 1.812 1.812
Ge 5.436 5.436 5.436
```

Output
V in Å³/cell: 95.16
Energy in eV/atom: -5.23

# PaGePt

PaGePt after structural relaxation (PBE-GGA, Alexandria via LeMat-Bulk).

Cell and atoms, written as extended XYZ:
```
3
Lattice="4.328 0.000 0.000 -2.164 3.748 0.000 0.000 0.000 3.754" Properties=species:S:1:pos:R:3 pbc="T T T"
Pa 0.000 0.000 0.000
Ge 2.164 1.249 2.008
Pt 0.000 2.499 1.692
```

Output
V in Å³/cell: 60.90
Energy in eV/atom: -7.63

# PaGe3Pt3

PaGe3Pt3 after structural relaxation (PBE-GGA, Alexandria via LeMat-Bulk).

Cell and atoms, written as extended XYZ:
```
14
Lattice="6.782 0.000 0.000 0.000 6.782 0.000 0.000 0.000 6.782" Properties=species:S:1:pos:R:3 pbc="T T T"
Pa 0.000 0.000 0.000
Pa 3.391 3.391 3.391
Ge 0.000 1.695 3.391
Ge 0.000 5.086 3.391
Ge 1.695 3.391 0.000
Ge 3.391 0.000 1.695
Ge 3.391 0.000 5.086
Ge 5.086 3.391 0.000
Pt 0.000 3.391 1.695
Pt 0.000 3.391 5.086
Pt 1.695 0.000 3.391
Pt 3.391 1.695 0.000
Pt 3.391 5.086 0.000
Pt 5.086 0.000 3.391
```

Output
V in Å³/cell: 311.88
Energy in eV/atom: -6.09

# PaGe2Pt

PaGe2Pt after structural relaxation (PBE-GGA, Alexandria via LeMat-Bulk).

Cell and atoms, written as extended XYZ:
```
16
Lattice="-2.182 4.292 8.426 2.182 -4.292 8.426 2.182 4.292 -8.426" Properties=species:S:1:pos:R:3 pbc="T T T"
Pa 0.000 0.000 3.331
Pa 0.000 2.078 0.000
Pa 0.000 6.505 0.000
Pa 0.000 0.000 13.522
Ge 2.182 0.000 1.205
Ge 2.182 -1.265 5.099
Ge 0.000 0.000 7.215
Ge 2.182 1.265 5.099
Ge 0.000 3.027 3.327
Ge 0.000 0.000 9.637
Ge 0.000 5.557 3.327
Ge 0.000 4.292 7.221
Pt 2.182 2.137 -2.545
Pt 2.182 2.137 2.545
Pt 0.000 2.154 5.882
Pt 0.000 2.154 10.971
```

Output
V in Å³/cell: 315.66
Energy in eV/atom: -6.81

# Pa2GePt

Pa2GePt after structural relaxation (PBE-GGA, Alexandria via LeMat-Bulk).

Cell and atoms, written as extended XYZ:
```
4
Lattice="3.751 0.000 0.000 0.000 3.751 0.000 0.000 0.000 6.102" Properties=species:S:1:pos:R:3 pbc="T T T"
Pa 0.000 0.000 1.524
Pa 0.000 0.000 4.578
Ge 1.876 1.876 0.000
Pt 1.876 1.876 3.051
```

Output
V in Å³/cell: 85.87
Energy in eV/atom: -8.01

# Pa2GePt

Pa2GePt after structural relaxation (PBE-GGA, Alexandria via LeMat-Bulk).

Cell and atoms, written as extended XYZ:
```
4
Lattice="0.000 3.534 3.534 3.534 0.000 3.534 3.534 3.534 0.000" Properties=species:S:1:pos:R:3 pbc="T T T"
Pa 1.767 1.767 1.767
Pa 5.301 5.301 5.301
Ge 0.000 0.000 0.000
Pt 3.534 3.534 3.534
```

Output
V in Å³/cell: 88.28
Energy in eV/atom: -7.81

# Pa2GePt

Pa2GePt after structural relaxation (PBE-GGA, Alexandria via LeMat-Bulk).

Cell and atoms, written as extended XYZ:
```
8
Lattice="5.955 0.000 0.000 0.000 3.983 0.000 -2.929 0.000 7.665" Properties=species:S:1:pos:R:3 pbc="T T T"
Pa -0.040 0.996 3.371
Pa -1.391 0.996 6.965
Pa 4.418 2.987 0.700
Pa 3.067 2.987 4.293
Ge 1.303 2.987 1.539
Ge 1.724 0.996 6.125
Pt 0.054 2.987 5.462
Pt 2.973 0.996 2.203
```

Output
V in Å³/cell: 181.79
Energy in eV/atom: -8.10

# Pa2GePt

Pa2GePt after structural relaxation (PBE-GGA, Alexandria via LeMat-Bulk).

Cell and atoms, written as extended XYZ:
```
4
Lattice="2.329 1.344 4.840 -2.329 1.344 4.840 0.000 -2.689 4.840" Properties=species:S:1:pos:R:3 pbc="T T T"
Pa 0.000 0.000 3.636
Pa 0.000 0.000 10.885
Ge 0.000 0.000 0.000
Pt 0.000 0.000 7.260
```

Output
V in Å³/cell: 90.92
Energy in eV/atom: -7.87

# PaGePt6

PaGePt6 after structural relaxation (PBE-GGA, Alexandria via LeMat-Bulk).

Cell and atoms, written as extended XYZ:
```
8
Lattice="4.214 -2.781 0.000 4.214 2.781 0.000 -3.086 0.000 6.554" Properties=species:S:1:pos:R:3 pbc="T T T"
Pa 0.000 0.000 0.000
Ge 2.671 0.000 3.277
Pt 2.038 1.444 1.369
Pt 0.102 0.000 2.945
Pt 3.304 1.444 5.184
Pt 2.038 -1.444 1.369
Pt 5.240 0.000 3.608
Pt 3.304 -1.444 5.184
```

Output
V in Å³/cell: 153.61
Energy in eV/atom: -6.77

# Pa5Ge5Pt2

Pa5Ge5Pt2 after structural relaxation (PBE-GGA, Alexandria via LeMat-Bulk).

Cell and atoms, written as extended XYZ:
```
12
Lattice="7.592 -2.060 0.000 7.592 2.060 0.000 -7.150 0.000 8.303" Properties=species:S:1:pos:R:3 pbc="T T T"
Pa 0.000 0.000 0.000
Pa 1.849 0.000 3.335
Pa 4.141 0.000 1.638
Pa 3.894 0.000 6.665
Pa 6.185 0.000 4.968
Ge -3.575 0.000 4.151
Ge -1.481 0.000 2.613
Ge -1.668 0.000 7.347
Ge 9.703 0.000 0.956
Ge 9.515 0.000 5.690
Pt 0.506 0.000 5.974
Pt 7.528 0.000 2.329
```

Output
V in Å³/cell: 259.76
Energy in eV/atom: -7.50

# Pa4GePt

Pa4GePt after structural relaxation (PBE-GGA, Alexandria via LeMat-Bulk).

Cell and atoms, written as extended XYZ:
```
12
Lattice="6.966 0.000 0.000 0.000 6.966 0.000 0.000 0.000 5.716" Properties=species:S:1:pos:R:3 pbc="T T T"
Pa 0.977 2.487 0.000
Pa 0.977 4.479 2.858
Pa 2.487 0.977 2.858
Pa 2.487 5.989 0.000
Pa 4.479 0.977 0.000
Pa 4.479 5.989 2.858
Pa 5.989 2.487 2.858
Pa 5.989 4.479 0.000
Ge 3.483 3.483 1.429
Ge 3.483 3.483 4.287
Pt 0.000 0.000 1.429
Pt 0.000 0.000 4.287
```

Output
V in Å³/cell: 277.32
Energy in eV/atom: -8.57

# Pa2Ge3Pt5

Pa2Ge3Pt5 after structural relaxation (PBE-GGA, Alexandria via LeMat-Bulk).

Cell and atoms, written as extended XYZ:
```
20
Lattice="-5.591 5.802 2.874 5.591 -5.802 2.874 5.591 5.802 -2.874" Properties=species:S:1:pos:R:3 pbc="T T T"
Pa 2.590 1.484 0.000
Pa 2.590 -1.484 2.874
Pa 3.001 7.286 0.000
Pa 3.001 4.318 2.874
Ge 4.273 -4.210 2.874
Ge 5.591 0.000 1.437
Ge 4.273 4.210 0.000
Ge 1.318 1.592 2.874
Ge 0.000 5.802 1.437
Ge 1.318 10.012 0.000
Pt 5.591 -2.651 1.437
Pt 7.477 1.193 0.000
Pt 0.000 0.000 1.437
Pt 1.886 4.609 0.000
Pt 5.591 2.651 1.437
Pt 0.000 3.150 1.437
Pt 3.706 1.193 2.874
Pt 0.000 0.000 4.311
Pt -1.886 4.609 2.874
Pt 0.000 8.453 1.437
```

Output
V in Å³/cell: 372.95
Energy in eV/atom: -7.04

# Pa2GePt3

Pa2GePt3 after structural relaxation (PBE-GGA, Alexandria via LeMat-Bulk).

Cell and atoms, written as extended XYZ:
```
12
Lattice="0.000 4.533 7.889 3.290 0.000 7.889 3.290 4.533 0.000" Properties=species:S:1:pos:R:3 pbc="T T T"
Pa 5.091 4.533 7.889
Pa 1.645 2.266 3.945
Pa 4.935 6.799 11.834
Pa 1.488 4.533 7.889
Ge 3.290 4.533 5.289
Ge 3.290 4.533 10.490
Pt 3.290 4.533 2.738
Pt 3.290 2.370 6.528
Pt 3.290 2.370 9.251
Pt 3.290 6.695 6.528
Pt 3.290 6.695 9.251
Pt 3.290 4.533 13.040
```

Output
V in Å³/cell: 235.28
Energy in eV/atom: -7.92

# PaGePt

PaGePt after structural relaxation (PBE-GGA, Alexandria via LeMat-Bulk).

Cell and atoms, written as extended XYZ:
```
6
Lattice="1.672 -7.555 0.000 1.672 7.555 0.000 0.000 0.000 5.021" Properties=species:S:1:pos:R:3 pbc="T T T"
Pa 1.672 5.184 3.766
Pa 1.672 -5.184 1.255
Ge 1.672 0.000 0.000
Ge 1.672 0.000 2.511
Pt 1.672 2.402 3.766
Pt 1.672 -2.402 1.255
```

Output
V in Å³/cell: 126.89
Energy in eV/atom: -7.22

# PaGe2Pt

PaGe2Pt after structural relaxation (PBE-GGA, Alexandria via LeMat-Bulk).

Cell and atoms, written as extended XYZ:
```
4
Lattice="4.290 0.000 0.000 0.000 4.290 0.000 0.000 0.000 4.179" Properties=species:S:1:pos:R:3 pbc="T T T"
Pa 0.000 0.000 0.000
Ge 0.000 2.145 2.089
Ge 2.145 0.000 2.089
Pt 2.145 2.145 0.000
```

Output
V in Å³/cell: 76.93
Energy in eV/atom: -6.74